1.
KPb3 | PBE | relaxed

The structure in CIF format:
```
data_KPb3
_chemical_formula_sum 'K2 Pb6'
_cell_length_a 6.975
_cell_length_b 10.970
_cell_length_c 3.428
_cell_angle_alpha 90.00
_cell_angle_beta 90.00
_cell_angle_gamma 90.00
_space_group_name_H-M_alt 'C m m m'
_space_group_IT_number 65
_space_group_name_Hall '-C 2 2'
loop_
_atom_site_label
_atom_site_type_symbol
_atom_site_fract_x
_atom_site_fract_y
_atom_site_fract_z
K1 K 0.000 0.000 0.000
Pb1 Pb 0.000 0.500 0.000
Pb2 Pb 0.250 0.250 0.500
```

Properties
Density: 8.365 g/cm³
Total DFT energy (no corrections): -0.114 Ha/atom
E_form: -0.043 eV/atom
Calculated volume: 262 Å³ per cell



2.
Al2ZnHg | PBE | relaxed

The structure in CIF format:
```
data_Al2ZnHg
_chemical_formula_sum 'Al6 Zn3 Hg3'
_cell_length_a 3.0635
_cell_length_b 3.0635
_cell_length_c 27.0793
_cell_angle_alpha 90.00
_cell_angle_beta 90.00
_cell_angle_gamma 120.00
_space_group_name_H-M_alt 'R 3 m'
_space_group_IT_number 160
_space_group_name_Hall 'R 3 -2"'
loop_
_atom_site_label
_atom_site_type_symbol
_atom_site_fract_x
_atom_site_fract_y
_atom_site_fract_z
Al1 Al 0.0000 0.0000 0.0000
Al2 Al 0.0000 0.0000 0.2512
Zn1 Zn 0.0000 0.0000 0.7423
Hg1 Hg 0.0000 0.0000 0.4957
```

Properties
Density: 7.242 g/cm³
Total DFT energy (no corrections): -0.079 Ha/atom
E_form: 0.108 eV/atom
Energy above the most stable polymorph in this dataset: 9.9 meV per atom
Calculated volume: 220 Å³ per cell



3.
Y6In5Ag | PBE | relaxed

The structure in CIF format:
```
data_Y6In5Ag
_chemical_formula_sum 'Y12 In10 Ag2'
_cell_length_a 5.321
_cell_length_b 15.984
_cell_length_c 7.440
_cell_angle_alpha 90.00
_cell_angle_beta 90.00
_cell_angle_gamma 90.00
_space_group_name_H-M_alt 'C m m m'
_space_group_IT_number 65
_space_group_name_Hall '-C 2 2'
loop_
_atom_site_label
_atom_site_type_symbol
_atom_site_fract_x
_atom_site_fract_y
_atom_site_fract_z
Y1 Y 0.000 0.000 0.246
Y2 Y 0.000 0.335 0.247
In1 In 0.000 0.164 0.000
In2 In 0.000 0.167 0.500
In3 In 0.000 0.500 0.500
Ag1 Ag 0.000 0.500 0.000
```

Properties
Density: 6.379 g/cm³
Total DFT energy (no corrections): -0.187 Ha/atom
E_form: -0.475 eV/atom
Calculated volume: 633 Å³ per cell



4.
Sc2MnMo | PBE | relaxed

The structure in CIF format:
```
data_Sc2MnMo
_chemical_formula_sum 'Sc2 Mn1 Mo1'
_cell_length_a 3.064
_cell_length_b 3.064
_cell_length_c 7.705
_cell_angle_alpha 90.00
_cell_angle_beta 90.00
_cell_angle_gamma 90.00
_space_group_name_H-M_alt 'P 4 m m'
_space_group_IT_number 99
loop_
_space_group_symop_operation_xyz
'x,y,z'
'-y,x,z'
'-x,-y,z'
'y,-x,z'
'-x,y,z'
'y,x,z'
'x,-y,z'
'-y,-x,z'
loop_
_atom_site_label
_atom_site_type_symbol
_atom_site_fract_x
_atom_site_fract_y
_atom_site_fract_z
Sc1 Sc 0.000 0.000 0.000
Sc2 Sc 0.500 0.500 0.354
Mn1 Mn 0.000 0.000 0.578
Mo1 Mo 0.500 0.500 0.749
```

Properties
Density: 5.529 g/cm³
Total DFT energy (no corrections): -0.299 Ha/atom
E_form: 0.021 eV/atom
Energy above the most stable polymorph in this dataset: 0.0 meV per atom
Calculated volume: 72 Å³ per cell



5.
MoPt3I | PBE | relaxed

The structure in CIF format:
```
data_MoPt3I
_chemical_formula_sum 'Mo1 Pt3 I1'
_cell_length_a 4.900
_cell_length_b 4.900
_cell_length_c 4.900
_cell_angle_alpha 90.00
_cell_angle_beta 90.00
_cell_angle_gamma 90.00
_space_group_name_H-M_alt 'P m -3 m'
_space_group_IT_number 221
_space_group_name_Hall '-P 4 2 3'
loop_
_atom_site_label
_atom_site_type_symbol
_atom_site_fract_x
_atom_site_fract_y
_atom_site_fract_z
Mo1 Mo 0.000 0.000 0.000
Pt1 Pt 0.000 0.000 0.500
I1 I 0.500 0.500 0.500
```

Properties
Density: 11.406 g/cm³
Total DFT energy (no corrections): -0.181 Ha/atom
Formation energy (no corrections): 565 kJ/mol of formula units
Calculated volume: 118 Å³ per cell



6.
PuMgRhAu | PBE | relaxed

The structure in CIF format:
```
data_PuMgRhAu
_chemical_formula_sum 'Pu4 Mg4 Rh4 Au4'
_cell_length_a 6.829
_cell_length_b 6.829
_cell_length_c 6.829
_cell_angle_alpha 90.00
_cell_angle_beta 90.00
_cell_angle_gamma 90.00
_space_group_name_H-M_alt 'F -4 3 m'
_space_group_IT_number 216
_space_group_name_Hall 'F -4 2 3'
loop_
_atom_site_label
_atom_site_type_symbol
_atom_site_fract_x
_atom_site_fract_y
_atom_site_fract_z
Pu1 Pu 0.000 0.000 0.000
Mg1 Mg 0.000 0.000 0.500
Rh1 Rh 0.250 0.250 0.750
Au1 Au 0.250 0.250 0.250
```

Properties
Density: 11.850 g/cm³
Total DFT energy (no corrections): -0.258 Ha/atom
E_form: -0.380 eV/atom
Calculated volume: 318 Å³ per cell



7.
Ti6As3H | PBE | relaxed

The structure in CIF format:
```
data_Ti6As3H
_chemical_formula_sum 'Ti24 As12 H4'
_cell_length_a 10.365
_cell_length_b 13.034
_cell_length_c 4.292
_cell_angle_alpha 90.00
_cell_angle_beta 90.00
_cell_angle_gamma 90.00
_space_group_name_H-M_alt 'C m c 21'
_space_group_IT_number 36
loop_
_space_group_symop_operation_xyz
'x,y,z'
'-x,-y,z+1/2'
'-x,y,z'
'x,-y,z+1/2'
'x+1/2,y+1/2,z'
'-x+1/2,-y+1/2,z+1/2'
'-x+1/2,y+1/2,z'
'x+1/2,-y+1/2,z+1/2'
loop_
_atom_site_label
_atom_site_type_symbol
_atom_site_fract_x
_atom_site_fract_y
_atom_site_fract_z
Ti1 Ti 0.000 0.063 0.000
Ti2 Ti 0.000 0.259 0.501
Ti3 Ti 0.166 0.431 0.498
Ti4 Ti 0.168 0.242 0.002
As1 As 0.000 0.401 0.000
As2 As 0.168 0.101 0.494
H1 H 0.000 0.202 0.915
```

Properties
Density: 5.877 g/cm³
Total DFT energy (no corrections): -0.260 Ha/atom
Calculated volume: 580 Å³ per cell



8.
HgTe2N2 | PBE | relaxed

The structure in CIF format:
```
data_HgTe2N2
_chemical_formula_sum 'Hg1 Te2 N2'
_cell_length_a 4.332
_cell_length_b 4.332
_cell_length_c 7.131
_cell_angle_alpha 90.00
_cell_angle_beta 90.00
_cell_angle_gamma 90.00
_space_group_name_H-M_alt 'P 4/m m m'
_space_group_IT_number 123
_space_group_name_Hall '-P 4 2'
loop_
_atom_site_label
_atom_site_type_symbol
_atom_site_fract_x
_atom_site_fract_y
_atom_site_fract_z
Hg1 Hg 0.000 0.000 0.000
Te1 Te 0.000 0.000 0.500
Te2 Te 0.500 0.500 0.500
N1 N 0.000 0.500 0.000
```

Properties
Density: 6.004 g/cm³
Total DFT energy (no corrections): -0.107 Ha/atom
Energy above the most stable polymorph in this dataset: 469.2 meV per atom
Formation energy (no corrections): 842 kJ/mol of formula units
Calculated volume: 134 Å³ per cell



9.
Y2ThSc5 | PBE | relaxed

The structure in CIF format:
```
data_Y2ThSc5
_chemical_formula_sum 'Y8 Th4 Sc20'
_cell_length_a 6.847
_cell_length_b 10.826
_cell_length_c 11.834
_cell_angle_alpha 90.00
_cell_angle_beta 90.00
_cell_angle_gamma 90.00
_space_group_name_H-M_alt 'F m m 2'
_space_group_IT_number 42
_space_group_name_Hall 'F 2 -2'
loop_
_atom_site_label
_atom_site_type_symbol
_atom_site_fract_x
_atom_site_fract_y
_atom_site_fract_z
Y1 Y 0.000 0.245 0.000
Th1 Th 0.000 0.000 0.331
Sc1 Sc 0.000 0.000 0.827
Sc2 Sc 0.247 0.000 0.586
Sc3 Sc 0.250 0.250 0.249
```

Properties
Density: 4.806 g/cm³
Total DFT energy (no corrections): -0.238 Ha/atom
E_form: 0.027 eV/atom
Energy above the most stable polymorph in this dataset: 0.0 meV per atom
Calculated volume: 877 Å³ per cell



10.
BaNaV3 | PBE | relaxed

The structure in CIF format:
```
data_BaNaV3
_chemical_formula_sum 'Ba1 Na1 V3'
_cell_length_a 5.306
_cell_length_b 5.306
_cell_length_c 5.306
_cell_angle_alpha 90.00
_cell_angle_beta 90.00
_cell_angle_gamma 90.00
_space_group_name_H-M_alt 'P m -3 m'
_space_group_IT_number 221
_space_group_name_Hall '-P 4 2 3'
loop_
_atom_site_label
_atom_site_type_symbol
_atom_site_fract_x
_atom_site_fract_y
_atom_site_fract_z
Ba1 Ba 0.000 0.000 0.000
Na1 Na 0.500 0.500 0.500
V1 V 0.000 0.500 0.500
```

Properties
Density: 3.480 g/cm³
Total DFT energy (no corrections): -0.162 Ha/atom
E_form: 1.715 eV/atom
Energy above the most stable polymorph in this dataset: 0.0 meV per atom
Calculated volume: 149 Å³ per cell



11.
LiZn2Au | PBE | relaxed

The structure in CIF format:
```
data_LiZn2Au
_chemical_formula_sum 'Li1 Zn2 Au1'
_cell_length_a 2.802
_cell_length_b 3.890
_cell_length_c 5.625
_cell_angle_alpha 90.00
_cell_angle_beta 91.95
_cell_angle_gamma 90.00
_space_group_name_H-M_alt 'P 1 m 1'
_space_group_IT_number 6
loop_
_space_group_symop_operation_xyz
'x,y,z'
'x,-y,z'
loop_
_atom_site_label
_atom_site_type_symbol
_atom_site_fract_x
_atom_site_fract_y
_atom_site_fract_z
Li1 Li 0.000 0.000 0.000
Zn1 Zn 0.496 0.500 0.257
Zn2 Zn 0.996 0.000 0.497
Au1 Au 0.496 0.500 0.766
```

Properties
Density: 9.071 g/cm³
Total DFT energy (no corrections): -0.081 Ha/atom
E_form: -0.276 eV/atom
Energy above the most stable polymorph in this dataset: 86.3 meV per atom
Calculated volume: 61 Å³ per cell



12.
Sm4SbS3 | PBE | relaxed

The structure in CIF format:
```
data_Sm4SbS3
_chemical_formula_sum 'Sm4 Sb1 S3'
_cell_length_a 4.122
_cell_length_b 5.866
_cell_length_c 8.305
_cell_angle_alpha 90.00
_cell_angle_beta 90.00
_cell_angle_gamma 90.00
_space_group_name_H-M_alt 'P m m m'
_space_group_IT_number 47
loop_
_space_group_symop_operation_xyz
'x,y,z'
'-x,-y,-z'
'-x,-y,z'
'x,y,-z'
'x,-y,-z'
'-x,y,z'
'-x,y,-z'
'x,-y,z'
loop_
_atom_site_label
_atom_site_type_symbol
_atom_site_fract_x
_atom_site_fract_y
_atom_site_fract_z
Sm1 Sm 0.000 0.000 0.000
Sm2 Sm 0.000 0.000 0.500
Sm3 Sm 0.500 0.500 0.229
Sb1 Sb 0.000 0.500 0.500
S1 S 0.000 0.500 0.000
S2 S 0.500 0.000 0.246
```

Properties
Density: 6.775 g/cm³
Total DFT energy (no corrections): -0.227 Ha/atom
Formation energy (no corrections): -1350 kJ/mol of formula units
Calculated volume: 201 Å³ per cell



13.
La2Hg3Pd2 | PBE | relaxed

The structure in CIF format:
```
data_La2Hg3Pd2
_chemical_formula_sum 'La4 Hg6 Pd4'
_cell_length_a 10.738
_cell_length_b 4.229
_cell_length_c 7.610
_cell_angle_alpha 90.00
_cell_angle_beta 93.86
_cell_angle_gamma 90.00
_space_group_name_H-M_alt 'C 1 2/m 1'
_space_group_IT_number 12
loop_
_space_group_symop_operation_xyz
'x,y,z'
'-x,-y,-z'
'-x,y,-z'
'x,-y,z'
'x+1/2,y+1/2,z'
'-x+1/2,-y+1/2,-z'
'-x+1/2,y+1/2,-z'
'x+1/2,-y+1/2,z'
loop_
_atom_site_label
_atom_site_type_symbol
_atom_site_fract_x
_atom_site_fract_y
_atom_site_fract_z
La1 La 0.122 0.000 0.333
Hg1 Hg 0.000 0.500 0.000
Hg2 Hg 0.187 0.000 0.861
Pd1 Pd 0.094 0.500 0.631
```

Properties
Density: 10.524 g/cm³
Total DFT energy (no corrections): -0.132 Ha/atom
E_form: -0.579 eV/atom
Calculated volume: 345 Å³ per cell



14.
PrRu4O12 | PBE | relaxed

The structure in CIF format:
```
data_PrRu4O12
_chemical_formula_sum 'Pr2 Ru8 O24'
_cell_length_a 7.521
_cell_length_b 7.521
_cell_length_c 7.521
_cell_angle_alpha 90.00
_cell_angle_beta 90.00
_cell_angle_gamma 90.00
_space_group_name_H-M_alt 'I m -3'
_space_group_IT_number 204
_space_group_name_Hall '-I 2 2 3'
loop_
_atom_site_label
_atom_site_type_symbol
_atom_site_fract_x
_atom_site_fract_y
_atom_site_fract_z
Pr1 Pr 0.000 0.000 0.000
Ru1 Ru 0.250 0.250 0.250
O1 O 0.000 0.282 0.197
```

Properties
Density: 5.756 g/cm³
Total DFT energy (no corrections): -0.260 Ha/atom
Formation energy (no corrections): -1806 kJ/mol of formula units
Calculated volume: 425 Å³ per cell



15.
Ac2Cd2Ag | PBE | relaxed

The structure in CIF format:
```
data_Ac2Cd2Ag
_chemical_formula_sum 'Ac8 Cd8 Ag4'
_cell_length_a 11.481
_cell_length_b 5.020
_cell_length_c 11.895
_cell_angle_alpha 90.00
_cell_angle_beta 115.19
_cell_angle_gamma 90.00
_space_group_name_H-M_alt 'C 1 2/m 1'
_space_group_IT_number 12
loop_
_space_group_symop_operation_xyz
'x,y,z'
'-x,-y,-z'
'-x,y,-z'
'x,-y,z'
'x+1/2,y+1/2,z'
'-x+1/2,-y+1/2,-z'
'-x+1/2,y+1/2,-z'
'x+1/2,-y+1/2,z'
loop_
_atom_site_label
_atom_site_type_symbol
_atom_site_fract_x
_atom_site_fract_y
_atom_site_fract_z
Ac1 Ac 0.017 0.000 0.338
Ac2 Ac 0.190 0.000 0.111
Cd1 Cd 0.017 0.500 0.883
Cd2 Cd 0.146 0.500 0.565
Ag1 Ag 0.225 0.500 0.341
```

Properties
Density: 8.422 g/cm³
Total DFT energy (no corrections): -0.105 Ha/atom
E_form: -0.279 eV/atom
Energy above the most stable polymorph in this dataset: 0.0 meV per atom
Calculated volume: 620 Å³ per cell



16.
YNb3As | PBE | relaxed

The structure in CIF format:
```
data_YNb3As
_chemical_formula_sum 'Y1 Nb3 As1'
_cell_length_a 4.949
_cell_length_b 4.949
_cell_length_c 4.949
_cell_angle_alpha 90.00
_cell_angle_beta 90.00
_cell_angle_gamma 90.00
_space_group_name_H-M_alt 'P m -3 m'
_space_group_IT_number 221
_space_group_name_Hall '-P 4 2 3'
loop_
_atom_site_label
_atom_site_type_symbol
_atom_site_fract_x
_atom_site_fract_y
_atom_site_fract_z
Y1 Y 0.000 0.000 0.000
Nb1 Nb 0.000 0.000 0.500
As1 As 0.500 0.500 0.500
```

Properties
Density: 6.062 g/cm³
Total DFT energy (no corrections): -0.229 Ha/atom
E_form: 2.044 eV/atom
Energy above the most stable polymorph in this dataset: 1708.9 meV per atom
Calculated volume: 121 Å³ per cell



17.
KAlGa5 | PBE | relaxed

The structure in CIF format:
```
data_KAlGa5
_chemical_formula_sum 'K1 Al1 Ga5'
_cell_length_a 4.049
_cell_length_b 4.049
_cell_length_c 9.970
_cell_angle_alpha 90.00
_cell_angle_beta 90.00
_cell_angle_gamma 90.00
_space_group_name_H-M_alt 'P 4/m m m'
_space_group_IT_number 123
_space_group_name_Hall '-P 4 2'
loop_
_atom_site_label
_atom_site_type_symbol
_atom_site_fract_x
_atom_site_fract_y
_atom_site_fract_z
K1 K 0.000 0.000 0.000
Al1 Al 0.000 0.000 0.500
Ga1 Ga 0.000 0.500 0.291
Ga2 Ga 0.500 0.500 0.500
```

Properties
Density: 4.214 g/cm³
Total DFT energy (no corrections): -0.106 Ha/atom
E_form: -0.036 eV/atom
Calculated volume: 163 Å³ per cell



18.
Cs3KAu | PBE | relaxed

The structure in CIF format:
```
data_Cs3KAu
_chemical_formula_sum 'Cs6 K2 Au2'
_cell_length_a 8.591
_cell_length_b 9.851
_cell_length_c 9.052
_cell_angle_alpha 90.00
_cell_angle_beta 99.35
_cell_angle_gamma 90.00
_space_group_name_H-M_alt 'P 1 21/m 1'
_space_group_IT_number 11
loop_
_space_group_symop_operation_xyz
'x,y,z'
'-x,-y,-z'
'-x,y+1/2,-z'
'x,-y+1/2,z'
loop_
_atom_site_label
_atom_site_type_symbol
_atom_site_fract_x
_atom_site_fract_y
_atom_site_fract_z
Cs1 Cs 0.077 0.250 0.169
Cs2 Cs 0.391 0.010 0.752
K1 K 0.138 0.750 0.320
Au1 Au 0.342 0.750 0.026
```

Properties
Density: 2.789 g/cm³
Total DFT energy (no corrections): -0.056 Ha/atom
E_form: -0.125 eV/atom
Energy above the most stable polymorph in this dataset: 12.7 meV per atom
Calculated volume: 756 Å³ per cell



19.
Ac5MgIn2 | PBE | relaxed

The structure in CIF format:
```
data_Ac5MgIn2
_chemical_formula_sum 'Ac20 Mg4 In8'
_cell_length_a 9.426
_cell_length_b 9.426
_cell_length_c 13.836
_cell_angle_alpha 90.00
_cell_angle_beta 90.00
_cell_angle_gamma 90.00
_space_group_name_H-M_alt 'I 4/m c m'
_space_group_IT_number 140
_space_group_name_Hall '-I 4 2c'
loop_
_atom_site_label
_atom_site_type_symbol
_atom_site_fract_x
_atom_site_fract_y
_atom_site_fract_z
Ac1 Ac 0.000 0.000 0.000
Ac2 Ac 0.153 0.347 0.148
Mg1 Mg 0.000 0.000 0.250
In1 In 0.146 0.354 0.500
```

Properties
Density: 7.505 g/cm³
Total DFT energy (no corrections): -0.134 Ha/atom
E_form: -0.202 eV/atom
Calculated volume: 1229 Å³ per cell



20.
VTe | PBE | relaxed

The structure in CIF format:
```
data_VTe
_chemical_formula_sum 'V8 Te8'
_cell_length_a 8.127
_cell_length_b 8.127
_cell_length_c 8.127
_cell_angle_alpha 90.00
_cell_angle_beta 90.00
_cell_angle_gamma 90.00
_space_group_name_H-M_alt 'I -4 3 m'
_space_group_IT_number 217
_space_group_name_Hall 'I -4 2 3'
loop_
_atom_site_label
_atom_site_type_symbol
_atom_site_fract_x
_atom_site_fract_y
_atom_site_fract_z
V1 V 0.106 0.106 0.106
Te1 Te 0.196 0.196 0.804
```

Properties
Density: 4.419 g/cm³
Total DFT energy (no corrections): -0.230 Ha/atom
Formation energy (no corrections): -23 kJ/mol of formula units
Calculated volume: 537 Å³ per cell